1.
VASP calculation (PBE) on TbDyMgTc after structural relaxation.

## Properties
The energy relative to the elements is -0.008 eV/atom. As for the density of states at the Fermi level: 2.364 states/eV per cell.

Unit cell a=5.0414 b=5.0414 c=5.0414 alpha=60.00 beta=60.00 gamma=60.00
Closest atoms and distances in Å follow each position.
Sites, in units of the cell vectors:
Tb: 0.2500 0.2500 0.2500  4 Tc 3.09, 4 Mg 3.09
Dy: 0.7500 0.7500 0.7500  4 Mg 3.09, 4 Tc 3.09
Tc: 0.5000 0.5000 0.5000  4 Dy 3.09, 4 Tb 3.09
Mg: 0.0000 0.0000 0.0000  4 Tb 3.09, 4 Dy 3.09

***

2.
VASP calculation (PBE) on TbDyMgTl after structural relaxation.

## Properties
The energy relative to the elements is -0.237 eV/atom. As for the density of states at the Fermi level: 3.266 states/eV per cell.

Unit cell a=5.3436 b=5.3436 c=5.3436 alpha=60.00 beta=60.00 gamma=60.00
Closest atoms and distances in Å follow each position.
Sites, in units of the cell vectors:
Mg: 0.2500 0.2500 0.2500  4 Tb 3.27, 4 Dy 3.27
Tl: 0.7500 0.7500 0.7500  4 Tb 3.27, 4 Dy 3.27
Dy: 0.0000 0.0000 0.0000  4 Tl 3.27, 4 Mg 3.27
Tb: 0.5000 0.5000 0.5000  4 Tl 3.27, 4 Mg 3.27

***

3.
VASP calculation (PBE) on TbDy2Tm2Mg2 after structural relaxation.

## Properties
The energy relative to the elements is -0.024 eV/atom. As for the density of states at the Fermi level: 8.192 states/eV per cell.

Unit cell a=5.4092 b=5.4092 c=8.5372 alpha=71.53 beta=71.53 gamma=60.00
Closest atoms and distances in Å follow each position.
Sites, in units of the cell vectors:
Tm: 0.1544 0.1544 0.5367  3 Tm 3.18, 1 Mg 3.20, 3 Dy 3.44
Tm: 0.8456 0.8456 0.4633  3 Tm 3.18, 1 Mg 3.20, 3 Dy 3.44
Dy: 0.4271 0.4271 0.7186  4 Mg 3.30-3.34, 3 Tm 3.44, 1 Dy 3.47
Dy: 0.5729 0.5729 0.2814  4 Mg 3.30-3.34, 3 Tm 3.44, 1 Dy 3.47
Tb: 0.0000 0.0000 0.0000  6 Mg 3.30, 2 Tm 3.68
Mg: 0.2887 0.2887 0.1338  1 Tm 3.20, 3 Tb 3.30, 4 Dy 3.30-3.34
Mg: 0.7113 0.7113 0.8662  1 Tm 3.20, 3 Tb 3.30, 4 Dy 3.30-3.34

***

4.
VASP calculation (PBE) on TbDyTmMg after structural relaxation.

## Properties
The energy relative to the elements is 0.100 eV/atom. As for the density of states at the Fermi level: 6.164 states/eV per cell. Its energy above the most stable polymorph in this dataset is 6.3 kJ per mole of atoms.

Unit cell a=3.4291 b=3.4684 c=10.1946 alpha=89.99 beta=99.68 gamma=90.00
Closest atoms and distances in Å follow each position.
Sites, in units of the cell vectors:
Mg: 0.6658 0.9294 0.3316  4 Tm 3.33, 4 Tb 3.35, 4 Mg 3.43-3.47
Tb: 0.2802 0.4298 0.5603  4 Mg 3.35, 4 Tb 3.43-3.47, 2 Dy 3.50
Dy: 0.4313 0.9297 0.8626  4 Dy 3.43-3.47, 4 Tm 3.46, 2 Tb 3.50
Tm: 0.0532 0.4297 0.1063  4 Mg 3.33, 4 Tm 3.43-3.47, 4 Dy 3.46

***

5.
VASP calculation (PBE) on Tb2Dy4TmMg after structural relaxation.

## Properties
The energy relative to the elements is 0.022 eV/atom. As for the density of states at the Fermi level: 11.955 states/eV per cell.

Unit cell a=4.9470 b=4.9568 c=11.1074 alpha=63.46 beta=90.00 gamma=90.00
Closest atoms and distances in Å follow each position.
Sites, in units of the cell vectors:
Dy: 0.5000 0.2495 0.7508  4 Tb 3.50-3.52, 4 Dy 3.50, 2 Mg 3.50, 2 Tm 3.51
Dy: 0.5000 0.7505 0.2492  4 Tb 3.50-3.52, 4 Dy 3.50, 2 Mg 3.50, 2 Tm 3.51
Dy: 0.0000 0.7490 0.7509  2 Mg 3.50, 4 Dy 3.50, 4 Tb 3.50-3.51, 2 Tm 3.51-3.52
Dy: 0.0000 0.2510 0.2491  2 Mg 3.50, 4 Dy 3.50, 4 Tb 3.50-3.51, 2 Tm 3.51-3.52
Tm: 0.0000 0.5000 0.5000  4 Tb 3.50, 8 Dy 3.51-3.52
Tb: 0.0000 0.0000 0.0000  8 Dy 3.50, 4 Mg 3.50
Tb: 0.5000 0.0000 0.5000  4 Tm 3.50, 8 Dy 3.51-3.52
Mg: 0.5000 0.5000 0.0000  8 Dy 3.50, 4 Tb 3.50

***

6.
VASP calculation (PBE) on TbDy6Tm2Mg after structural relaxation.

## Properties
The energy relative to the elements is 0.122 eV/atom. As for the density of states at the Fermi level: 25.244 states/eV per cell.

Unit cell a=8.6810 b=9.0270 c=9.0270 alpha=118.77 beta=90.69 gamma=90.69
Closest atoms and distances in Å follow each position.
Sites, in units of the cell vectors:
Dy: 0.0548 0.1095 0.7938  2 Tb 3.26-3.52, 5 Dy 3.33-3.58, 1 Tm 3.35
Dy: 0.0819 0.7306 0.4540  2 Mg 3.25-3.46, 2 Tm 3.31-3.41, 4 Dy 3.33-3.41
Dy: 0.6951 0.9585 0.5356  1 Tm 3.35, 6 Dy 3.35-3.70, 1 Mg 3.36, 1 Tb 3.57
Dy: 0.5819 0.4540 0.7306  2 Mg 3.25-3.46, 2 Tm 3.31-3.41, 4 Dy 3.33-3.41
Dy: 0.3049 0.0415 0.4644  1 Tm 3.35, 6 Dy 3.35-3.70, 1 Mg 3.36, 1 Tb 3.57
Dy: 0.4452 0.2062 0.8905  2 Tb 3.26-3.52, 5 Dy 3.33-3.58, 1 Tm 3.35
Dy: 0.8049 0.4644 0.0415  1 Tm 3.35, 6 Dy 3.35-3.70, 1 Mg 3.36, 1 Tb 3.57
Dy: 0.4181 0.5460 0.2694  2 Mg 3.25-3.46, 2 Tm 3.31-3.41, 4 Dy 3.33-3.41
Dy: 0.9452 0.8905 0.2062  2 Tb 3.26-3.52, 5 Dy 3.33-3.58, 1 Tm 3.35
Dy: 0.1951 0.5356 0.9585  1 Tm 3.35, 6 Dy 3.35-3.70, 1 Mg 3.36, 1 Tb 3.57
Dy: 0.5548 0.7938 0.1095  2 Tb 3.26-3.52, 5 Dy 3.33-3.58, 1 Tm 3.35
Dy: 0.9181 0.2694 0.5460  2 Mg 3.25-3.46, 2 Tm 3.31-3.41, 4 Dy 3.33-3.41
Tm: 0.4434 0.7822 0.6854  2 Mg 3.14-3.46, 1 Tb 3.30, 4 Dy 3.31-3.41
Tm: 0.0566 0.3146 0.2178  2 Mg 3.14-3.46, 1 Tb 3.30, 4 Dy 3.31-3.41
Tm: 0.9434 0.6854 0.7822  2 Mg 3.14-3.46, 1 Tb 3.30, 4 Dy 3.31-3.41
Tm: 0.5566 0.2178 0.3146  2 Mg 3.14-3.46, 1 Tb 3.30, 4 Dy 3.31-3.41
Tb: 0.2500 0.9607 0.0393  6 Dy 3.26-3.57, 4 Tm 3.30-3.58
Tb: 0.7500 0.0393 0.9607  6 Dy 3.26-3.57, 4 Tm 3.30-3.58
Mg: 0.2500 0.4442 0.5558  4 Tm 3.14-3.46, 6 Dy 3.25-3.46
Mg: 0.7500 0.5558 0.4442  4 Tm 3.14-3.46, 6 Dy 3.25-3.46

***

7.
VASP calculation (PBE) on Tb2Dy6TmMg after structural relaxation.

## Properties
The energy relative to the elements is 0.111 eV/atom. As for the density of states at the Fermi level: 31.636 states/eV per cell.

Unit cell a=6.5627 b=10.9095 c=10.9095 alpha=126.11 beta=85.77 gamma=85.77
Closest atoms and distances in Å follow each position.
Sites, in units of the cell vectors:
Tb: 0.0024 0.6539 0.8199  2 Tm 3.35-3.60, 7 Dy 3.40-3.62, 1 Mg 3.55
Tb: 0.4976 0.1801 0.3461  2 Tm 3.35-3.60, 7 Dy 3.40-3.62, 1 Mg 3.55
Tb: 0.9976 0.3461 0.1801  2 Tm 3.35-3.60, 7 Dy 3.40-3.62, 1 Mg 3.55
Tb: 0.5024 0.8199 0.6539  2 Tm 3.35-3.60, 7 Dy 3.40-3.62, 1 Mg 3.55
Dy: 0.2788 0.9156 0.4366  7 Dy 3.34-3.73, 2 Mg 3.35-3.36, 1 Tb 3.47
Dy: 0.5305 0.7935 0.0853  2 Tm 3.26-3.41, 5 Dy 3.30-3.45, 1 Mg 3.32, 2 Tb 3.40-3.62
Dy: 0.7212 0.0844 0.5634  7 Dy 3.34-3.73, 2 Mg 3.35-3.36, 1 Tb 3.47
Dy: 0.7788 0.4366 0.9156  7 Dy 3.34-3.73, 2 Mg 3.35-3.36, 1 Tb 3.47
Dy: 0.2212 0.5634 0.0844  7 Dy 3.34-3.73, 2 Mg 3.35-3.36, 1 Tb 3.47
Dy: 0.9820 0.3001 0.4698  1 Mg 3.25, 4 Tb 3.40-3.58, 3 Dy 3.43-3.56
Dy: 0.4820 0.4698 0.3001  1 Mg 3.25, 4 Tb 3.40-3.58, 3 Dy 3.43-3.56
Dy: 0.9695 0.9147 0.2065  2 Tm 3.26-3.41, 5 Dy 3.30-3.45, 1 Mg 3.32, 2 Tb 3.40-3.62
Dy: 0.0180 0.6999 0.5302  1 Mg 3.25, 4 Tb 3.40-3.58, 3 Dy 3.43-3.56
Dy: 0.0305 0.0853 0.7935  2 Tm 3.26-3.41, 5 Dy 3.30-3.45, 1 Mg 3.32, 2 Tb 3.40-3.62
Dy: 0.4695 0.2065 0.9147  2 Tm 3.26-3.41, 5 Dy 3.30-3.45, 1 Mg 3.32, 2 Tb 3.40-3.62
Dy: 0.5180 0.5302 0.6999  1 Mg 3.25, 4 Tb 3.40-3.58, 3 Dy 3.43-3.56
Tm: 0.7500 0.0075 0.9925  4 Dy 3.26-3.41, 2 Tm 3.29, 4 Tb 3.35-3.60
Tm: 0.2500 0.9925 0.0075  4 Dy 3.26-3.41, 2 Tm 3.29, 4 Tb 3.35-3.60
Mg: 0.7500 0.7058 0.2942  8 Dy 3.25-3.36, 2 Tb 3.55
Mg: 0.2500 0.2942 0.7058  8 Dy 3.25-3.36, 2 Tb 3.55

***

8.
VASP calculation (PBE) on Tb2DyTm5Mg after structural relaxation.

## Properties
The energy relative to the elements is 0.109 eV/atom. As for the density of states at the Fermi level: 25.586 states/eV per cell.

Unit cell a=5.3514 b=10.3373 c=10.3063 alpha=90.00 beta=90.00 gamma=105.00
Closest atoms and distances in Å follow each position.
Sites, in units of the cell vectors:
Tm: 0.6167 0.2335 0.5085  4 Tb 3.46, 6 Tm 3.47-3.72, 1 Dy 3.53
Tm: 0.0128 0.0255 0.0084  2 Mg 3.14, 2 Tb 3.37
Tm: 0.7111 0.4222 0.8082  1 Mg 3.09, 2 Tm 3.27, 2 Dy 3.38, 2 Tb 3.41
Tm: 0.4997 0.9993 0.7579  2 Mg 3.20-3.21, 2 Tm 3.47, 4 Tb 3.54-3.55
Tm: 0.2894 0.5788 0.7084  1 Mg 3.10, 2 Tm 3.27, 2 Dy 3.38, 2 Tb 3.41
Tm: 0.5003 0.0007 0.2579  2 Mg 3.20-3.21, 2 Tm 3.47, 4 Tb 3.54-3.55
Tm: 0.7106 0.4212 0.2084  1 Mg 3.10, 2 Tm 3.27, 2 Dy 3.38, 2 Tb 3.41
Tm: 0.2889 0.5778 0.3082  1 Mg 3.09, 2 Tm 3.27, 2 Dy 3.38, 2 Tb 3.41
Tm: 0.9872 0.9745 0.5084  2 Mg 3.14, 2 Tb 3.37
Tm: 0.3833 0.7665 0.0085  4 Tb 3.46, 6 Tm 3.47-3.72, 1 Dy 3.53
Mg: 0.4047 0.8094 0.5072  6 Tm 3.09-3.21
Mg: 0.5953 0.1906 0.0072  6 Tm 3.09-3.21
Tb: 0.1151 0.2302 0.7212  9 Tm 3.37-3.60, 1 Dy 3.48
Tb: 0.8849 0.7698 0.2212  9 Tm 3.37-3.60, 1 Dy 3.48
Tb: 0.1151 0.2303 0.2958  9 Tm 3.37-3.60, 1 Dy 3.48
Tb: 0.8849 0.7697 0.7958  9 Tm 3.37-3.60, 1 Dy 3.48
Dy: 0.7935 0.5871 0.5084  7 Tm 3.38-3.53, 2 Tb 3.48, 2 Mg 3.48
Dy: 0.2065 0.4129 0.0084  7 Tm 3.38-3.53, 2 Tb 3.48, 2 Mg 3.48

***

9.
VASP calculation (PBE) on Tb6Dy2Tm3Mg after structural relaxation.

## Properties
The energy relative to the elements is 0.025 eV/atom. As for the density of states at the Fermi level: 15.131 states/eV per cell.

Unit cell a=6.0974 b=6.0974 c=11.6085 alpha=95.04 beta=95.04 gamma=120.02
Closest atoms and distances in Å follow each position.
Sites, in units of the cell vectors:
Tm: 0.5000 0.5000 0.5000  6 Tb 3.50, 6 Tm 3.52-3.53
Tm: 0.8340 0.1660 0.5000  6 Tb 3.49-3.51, 6 Tm 3.51-3.53
Tm: 0.1660 0.8340 0.5000  6 Tb 3.49-3.51, 6 Tm 3.51-3.53
Tb: 0.2498 0.2498 0.7489  3 Tm 3.49-3.50, 2 Dy 3.51, 6 Tb 3.52, 1 Mg 3.52
Tb: 0.0833 0.4163 0.2503  3 Tm 3.50-3.51, 1 Mg 3.51, 2 Dy 3.51, 6 Tb 3.52
Tb: 0.4163 0.0833 0.2503  3 Tm 3.50-3.51, 1 Mg 3.51, 2 Dy 3.51, 6 Tb 3.52
Tb: 0.9167 0.5837 0.7497  3 Tm 3.50-3.51, 1 Mg 3.51, 2 Dy 3.51, 6 Tb 3.52
Tb: 0.5837 0.9167 0.7497  3 Tm 3.50-3.51, 1 Mg 3.51, 2 Dy 3.51, 6 Tb 3.52
Tb: 0.7502 0.7502 0.2511  3 Tm 3.49-3.50, 2 Dy 3.51, 6 Tb 3.52, 1 Mg 3.52
Dy: 0.3335 0.6665 0.0000  6 Tb 3.51, 3 Dy 3.52, 3 Mg 3.52
Dy: 0.6665 0.3335 0.0000  6 Tb 3.51, 3 Dy 3.52, 3 Mg 3.52
Mg: 0.0000 0.0000 0.0000  6 Tb 3.51-3.52, 6 Dy 3.52

***

10.
VASP calculation (PBE) on TbDyTmMg after structural relaxation.

## Properties
The energy relative to the elements is 0.034 eV/atom. As for the density of states at the Fermi level: 4.376 states/eV per cell. Its energy above the most stable polymorph in this dataset is 0.0 kJ per mole of atoms.

Unit cell a=5.4751 b=5.4751 c=5.4751 alpha=60.00 beta=60.00 gamma=60.00
Closest atoms and distances in Å follow each position.
Sites, in units of the cell vectors:
Mg: 0.5000 0.5000 0.5000  4 Dy 3.35, 4 Tb 3.35
Dy: 0.7500 0.7500 0.7500  4 Mg 3.35, 4 Tm 3.35
Tm: 0.0000 0.0000 0.0000  4 Tb 3.35, 4 Dy 3.35
Tb: 0.2500 0.2500 0.2500  4 Mg 3.35, 4 Tm 3.35